No. 1
Material: Rb3Cu5Br12
Method: DFT, PBE-GGA
State: relaxed

a b c (Å): 16.9505 16.9505 16.9505
angles (deg): 90.00 90.00 90.00
Space group Ia-3d (No. 230)
Asymmetric unit:
Rb1 0.0000 0.2500 0.1250 [24 per cell]
Cu1 0.0000 0.0000 0.0000 [16 per cell]
Cu2 0.0000 0.2500 0.3750 [24 per cell]
Br1 0.0373 0.0429 0.6442 [96 per cell]

Output
Magnetization, μB per formula unit: 0.0
Uncorrected formation energy, eV per atom: -0.695
DOS(E_F), states/eV per atom: 0.920

No. 2
Material: CeTmLuSn
Method: DFT, PBE-GGA
State: relaxed

a b c (Å): 7.5094 7.5094 7.5094
angles (deg): 90.00 90.00 90.00
Space group F-43m (No. 216)
Asymmetric unit:
Ce1 0.0000 0.0000 0.0000 [4 per cell]
Tm1 0.2500 0.2500 0.7500 [4 per cell]
Lu1 0.2500 0.2500 0.2500 [4 per cell]
Sn1 0.0000 0.0000 0.5000 [4 per cell]

Output
Magnetization, μB per formula unit: 1.5
DOS(E_F), states/eV per atom: 1.889
DFT formation energy, eV per formula unit: -0.63

No. 3
Material: TmNi10P3
Method: DFT, PBE-GGA
State: relaxed

a b c (Å): 11.1738 11.1738 11.1738
angles (deg): 90.00 90.00 90.00
Space group Fm-3m (No. 225)
Asymmetric unit:
Tm1 0.2500 0.2500 0.2500 [8 per cell]
Ni1 0.0000 0.1752 0.1752 [48 per cell]
Ni2 0.1133 0.1133 0.3867 [32 per cell]
P1 0.0000 0.0000 0.2598 [24 per cell]

Output
Magnetization, μB per formula unit: 0.0
DOS(E_F), states/eV per atom: 0.305
DFT formation energy, eV per formula unit: -7.16

No. 4
Material: YPF
Method: DFT, PBE-GGA
State: relaxed

a b c (Å): 3.8977 3.8977 4.1655
angles (deg): 90.00 90.00 120.00
Space group P-6m2 (No. 187)
Asymmetric unit:
Y1 0.0000 0.0000 0.0000 [1 per cell]
P1 0.3333 0.6667 0.5000 [1 per cell]
F1 0.6667 0.3333 0.0000 [1 per cell]

Output
Magnetization, μB per formula unit: 0.0
Energy above the lowest structure with this stoichiometry, eV per atom: 0.303
Uncorrected formation energy, eV per atom: -2.035
DOS(E_F), states/eV per atom: 0.805

No. 5
Material: LiSi2Pt
Method: DFT, PBE-GGA
State: relaxed

a b c (Å): 3.3047 3.3047 5.0658
angles (deg): 90.00 90.00 90.00
Space group P4mm (No. 99)
Asymmetric unit:
Li1 0.0000 0.0000 0.0000 [1 per cell]
Si1 0.0000 0.0000 0.5050 [1 per cell]
Si2 0.5000 0.5000 0.7620 [1 per cell]
Pt1 0.5000 0.5000 0.2633 [1 per cell]

Output
Magnetization, μB per formula unit: 0.0
Energy above the lowest structure with this stoichiometry, eV per atom: 0.195
Uncorrected formation energy, eV per atom: -0.292
DOS(E_F), states/eV per atom: 0.570

No. 6
Material: CaRhCl
Method: DFT, PBE-GGA
State: relaxed

a b c (Å): 4.5966 4.5966 5.9350
angles (deg): 90.00 90.00 90.00
Space group P4/nmm (No. 129, origin choice 2)
Asymmetric unit:
Ca1 0.2500 0.2500 0.2025 [2 per cell]
Rh1 0.2500 0.2500 0.7640 [2 per cell]
Cl1 0.2500 0.7500 0.5000 [2 per cell]

Output
Magnetization, μB per formula unit: 0.0
Energy above the lowest structure with this stoichiometry, eV per atom: 0.803
Uncorrected formation energy, eV per atom: -0.372
DOS(E_F), states/eV per atom: 0.324

Copy entry 3 word for word.
Material: TmNi10P3
Method: DFT, PBE-GGA
State: relaxed

a b c (Å): 11.1738 11.1738 11.1738
angles (deg): 90.00 90.00 90.00
Space group Fm-3m (No. 225)
Asymmetric unit:
Tm1 0.2500 0.2500 0.2500 [8 per cell]
Ni1 0.0000 0.1752 0.1752 [48 per cell]
Ni2 0.1133 0.1133 0.3867 [32 per cell]
P1 0.0000 0.0000 0.2598 [24 per cell]

Output
Magnetization, μB per formula unit: 0.0
DOS(E_F), states/eV per atom: 0.305
DFT formation energy, eV per formula unit: -7.16